Entry 1
Material: CaMo3F
Method: DFT, PBE+U
State: optimized geometry

The symmetry is No. 221. For the spin magnetization, the calculation gives 2.6239 μB per atom.

Geometry as POSCAR:
```
CaMo3F
1.0
-1.1638 -0.8400 4.7803
0.9415 -4.8615 -0.6251
4.7613 0.7560 1.2920
Mo Ca F
3 1 1
direct
0.0000 0.5000 0.0000
0.0000 0.0000 0.5000
0.5000 0.0000 0.0000
0.5000 0.5000 0.5000
0.0000 0.0000 0.0000
```


Entry 2
Material: CaMo3F
Method: DFT, PBE+U
State: optimized geometry

The symmetry is No. 221. For the spin magnetization, the calculation gives 2.9975 μB per atom.

Geometry as POSCAR:
```
CaMo3F
1.0
6.0313 0.0000 0.0000
0.0000 6.0313 0.0000
0.0000 0.0000 6.0313
Mo Ca F
3 1 1
direct
0.0000 0.5000 0.0000
0.0000 0.0000 0.5000
0.5000 0.0000 0.0000
0.0000 0.0000 0.0000
0.5000 0.5000 0.5000
```


Going by the computed energies, the most stable comes first: entry 1, entry 2.


Entry 1
Material: CaMoNF2
Method: DFT, PBE+U
State: optimized geometry

The symmetry is No. 123. For the spin magnetization, the calculation gives 0.5915 μB per atom.

Geometry as POSCAR:
```
CaMoNF2
1.0
-0.8125 -1.2757 -3.8994
-0.5227 -3.9105 1.3883
-4.2243 0.7859 0.6231
Mo N Ca F
1 1 1 2
direct
0.0000 0.0000 0.0000
0.0000 0.0000 0.5000
0.5000 0.5000 0.5000
0.0000 0.5000 0.0000
0.5000 0.0000 0.0000
```


Entry 2
Material: CaMoNF2
Method: DFT, PBE+U
State: optimized geometry

The symmetry is No. 123. For the spin magnetization, the calculation gives 0.6000 μB per atom.

Geometry as POSCAR:
```
CaMoNF2
1.0
-2.4254 -2.0199 -2.6478
1.2808 -3.5894 1.5649
-3.8020 0.1213 3.3902
Mo N Ca F
1 1 1 2
direct
0.5000 0.5000 0.5000
0.0000 0.0000 0.5000
0.0000 0.0000 0.0000
0.0000 0.5000 0.0000
0.5000 0.0000 0.0000
```


Going by the computed energies, the most stable comes first: entry 1, entry 2.